Material: MnPIr
Method: DFT, SCAN
State: PBEsol geometry

Size of the total moment, μB/cell: 10.3
Crystal system: cubic
E_tot, eV per cell: -405.2
Energy relative to the elements, eV per formula unit: -1.552

The structure in CIF format:
```
data_MnPIr
_chemical_formula_sum 'Mn4 P4 Ir4'
_cell_length_a 5.432
_cell_length_b 5.432
_cell_length_c 5.432
_cell_angle_alpha 90.00
_cell_angle_beta 90.00
_cell_angle_gamma 90.00
_space_group_name_H-M_alt 'F -4 3 m'
_space_group_IT_number 216
_space_group_name_Hall 'F -4 2 3'
loop_
_atom_site_label
_atom_site_type_symbol
_atom_site_fract_x
_atom_site_fract_y
_atom_site_fract_z
Mn1 Mn 0.000 0.000 0.000
P1 P 0.250 0.250 0.750
Ir1 Ir 0.000 0.000 0.500
```



Material: Mn2PIr
Method: DFT, SCAN
State: PBEsol geometry

Size of the total moment, μB/cell: 0.5
Crystal system: orthorhombic
E_tot, eV per cell: -118.9
Energy relative to the elements, eV per formula unit: -0.932

The structure in CIF format:
```
data_Mn2PIr
_chemical_formula_sum 'Mn2 P1 Ir1'
_cell_length_a 2.744
_cell_length_b 3.517
_cell_length_c 5.023
_cell_angle_alpha 90.00
_cell_angle_beta 90.00
_cell_angle_gamma 90.00
_space_group_name_H-M_alt 'P m m 2'
_space_group_IT_number 25
loop_
_space_group_symop_operation_xyz
'x,y,z'
'-x,-y,z'
'-x,y,z'
'x,-y,z'
loop_
_atom_site_label
_atom_site_type_symbol
_atom_site_fract_x
_atom_site_fract_y
_atom_site_fract_z
Mn1 Mn 0.000 0.000 0.000
Mn2 Mn 0.500 0.500 0.188
P1 P 0.000 0.000 0.461
Ir1 Ir 0.500 0.500 0.688
```



Material: Mn2PIr
Method: DFT, SCAN
State: PBEsol geometry

Size of the total moment, μB/cell: 2.6
Crystal system: tetragonal
E_tot, eV per cell: -119.0
Energy relative to the elements, eV per formula unit: -0.950

The structure in CIF format:
```
data_Mn2PIr
_chemical_formula_sum 'Mn2 P1 Ir1'
_cell_length_a 2.731
_cell_length_b 2.731
_cell_length_c 6.194
_cell_angle_alpha 90.00
_cell_angle_beta 90.00
_cell_angle_gamma 90.00
_space_group_name_H-M_alt 'P 4 m m'
_space_group_IT_number 99
loop_
_space_group_symop_operation_xyz
'x,y,z'
'-y,x,z'
'-x,-y,z'
'y,-x,z'
'-x,y,z'
'y,x,z'
'x,-y,z'
'-y,-x,z'
loop_
_atom_site_label
_atom_site_type_symbol
_atom_site_fract_x
_atom_site_fract_y
_atom_site_fract_z
Mn1 Mn 0.000 0.000 0.000
Mn2 Mn 0.500 0.500 0.264
P1 P 0.000 0.000 0.451
Ir1 Ir 0.500 0.500 0.713
```